# 1
Computed, not measured: CaY2Sn9 after structural relaxation at the PBE-GGA level of DFT.

Size of the total moment   0.0 Bohr magnetons per cell
DOS(E_F)   4.9 states/eV per cell
V   318.66 Å³/f.u.
Energy relative to the elements   -0.420 eV per atom
VASP energy   -4.67 eV/atom

a b c (Å): 4.8042 4.8042 13.8065
angles (deg): 90.00 90.00 90.00
Closest atoms and distances in Å follow each position.
Space group P4/mmm (No. 123)
Inequivalent atoms, fractional coordinates:
Ca (0.0000, 0.0000, 0.0000)  12 Sn 3.34-3.40
Y (0.0000, 0.0000, 0.3362)  12 Sn 3.30-3.40
Sn (0.0000, 0.5000, 0.1685)  8 Sn 3.31-3.40, 2 Y 3.34, 2 Ca 3.34
Sn (0.0000, 0.5000, 0.5000)  4 Y 3.30, 8 Sn 3.32-3.40
Sn (0.5000, 0.5000, 0.0000)  8 Sn 3.34, 4 Ca 3.40
Sn (0.5000, 0.5000, 0.3338)  8 Sn 3.31-3.32, 4 Y 3.40



# 2
Computed, not measured: Ca3YSn after structural relaxation at the PBE-GGA level of DFT.

Size of the total moment   0.0 Bohr magnetons per cell
DOS(E_F)   10.2 states/eV per cell
V   209.80 Å³/f.u.
Energy relative to the elements   0.114 eV per atom
VASP energy   -3.18 eV/atom
Excess energy over the best structure of this formula in the dataset   0.0 meV/atom

a b c (Å): 5.9420 5.9420 5.9420
angles (deg): 90.00 90.00 90.00
Closest atoms and distances in Å follow each position.
Space group Pm-3m (No. 221)
Inequivalent atoms, fractional coordinates:
Ca (0.0000, 0.0000, 0.5000)  2 Sn 2.97
Y (0.5000, 0.5000, 0.5000)  12 Ca 4.20
Sn (0.0000, 0.0000, 0.0000)  6 Ca 2.97



# 3
Computed, not measured: CaYSn2 after structural relaxation at the PBE-GGA level of DFT.

Size of the total moment   0.0 Bohr magnetons per cell
DOS(E_F)   14.2 states/eV per cell
V   120.66 Å³/f.u.
Energy relative to the elements   -0.321 eV per atom
VASP energy   -4.44 eV/atom

a b c (Å): 8.3899 8.3899 6.8568
angles (deg): 90.00 90.00 90.00
Closest atoms and distances in Å follow each position.
Space group I-42d (No. 122)
Inequivalent atoms, fractional coordinates:
Ca (0.0000, 0.0000, 0.0000)  4 Sn 3.10, 2 Y 3.43
Y (0.0000, 0.0000, 0.5000)  4 Sn 3.08, 2 Ca 3.43
Sn (0.2482, 0.2500, 0.6250)  2 Y 3.08, 2 Ca 3.10, 2 Sn 3.43



# 4
Computed, not measured: CaYSn2 after structural relaxation at the PBE-GGA level of DFT.

Size of the total moment   0.0 Bohr magnetons per cell
DOS(E_F)   5.3 states/eV per cell
V   115.28 Å³/f.u.
Energy relative to the elements   -0.673 eV per atom
VASP energy   -4.79 eV/atom

a b c (Å): 4.2983 4.6487 11.5381
angles (deg): 90.00 90.00 90.00
Closest atoms and distances in Å follow each position.
Space group Amm2 (No. 38)
Inequivalent atoms, fractional coordinates:
Ca (0.0000, 0.0000, 0.0000)  7 Sn 3.15-3.50
Y (0.5000, 0.0000, 0.2691)  7 Sn 3.20-3.46
Sn (0.0000, 0.0000, 0.7269)  2 Sn 2.99, 1 Ca 3.15, 4 Y 3.20
Sn (0.5000, 0.0000, 0.5472)  2 Sn 2.99, 1 Y 3.21, 4 Ca 3.21



# 5
Computed, not measured: CaY2Sn2 after structural relaxation at the PBE-GGA level of DFT.

Size of the total moment   0.0 Bohr magnetons per cell
DOS(E_F)   9.9 states/eV per cell
V   160.64 Å³/f.u.
Energy relative to the elements   -0.447 eV per atom
VASP energy   -5.03 eV/atom
Excess energy over the best structure of this formula in the dataset   184.8 meV/atom

a b c (Å): 4.8896 4.8896 13.4375
angles (deg): 90.00 90.00 90.00
Closest atoms and distances in Å follow each position.
Space group I4/mmm (No. 139)
Inequivalent atoms, fractional coordinates:
Ca (0.0000, 0.0000, 0.0000)  8 Sn 3.74, 8 Y 4.15
Y (0.0000, 0.5000, 0.2500)  4 Sn 3.11, 4 Y 3.46
Sn (0.0000, 0.0000, 0.3932)  1 Sn 2.87, 4 Y 3.11



# 6
Computed, not measured: CaYSn2 after structural relaxation at the PBE-GGA level of DFT.

Size of the total moment   0.0 Bohr magnetons per cell
DOS(E_F)   2.9 states/eV per cell
V   109.33 Å³/f.u.
Energy relative to the elements   -0.605 eV per atom
VASP energy   -4.72 eV/atom

a b c (Å): 4.9847 4.9847 4.4002
angles (deg): 90.00 90.00 90.00
Closest atoms and distances in Å follow each position.
Space group P4/mmm (No. 123)
Inequivalent atoms, fractional coordinates:
Ca (0.0000, 0.0000, 0.0000)  8 Sn 3.32, 4 Y 3.52
Y (0.5000, 0.5000, 0.0000)  8 Sn 3.32, 4 Ca 3.52
Sn (0.0000, 0.5000, 0.5000)  4 Y 3.32, 4 Ca 3.32, 4 Sn 3.52



# 7
Computed, not measured: Ca2YSn after structural relaxation at the PBE-GGA level of DFT.

Size of the total moment   0.0 Bohr magnetons per cell
DOS(E_F)   15.5 states/eV per cell
V   130.37 Å³/f.u.
Energy relative to the elements   -0.086 eV per atom
VASP energy   -3.70 eV/atom

a b c (Å): 4.6654 4.6654 23.9578
angles (deg): 90.00 90.00 90.00
Closest atoms and distances in Å follow each position.
Space group I-42d (No. 122)
Inequivalent atoms, fractional coordinates:
Ca (0.2341, 0.2500, 0.1250)  4 Ca 3.20-3.41, 2 Sn 3.39, 2 Y 3.44
Y (0.0000, 0.0000, 0.5000)  4 Sn 3.30, 4 Ca 3.44
Sn (0.0000, 0.0000, 0.0000)  4 Y 3.30, 4 Ca 3.39



# 8
Computed, not measured: CaY2Sn2 after structural relaxation at the PBE-GGA level of DFT.

Size of the total moment   0.0 Bohr magnetons per cell
DOS(E_F)   9.8 states/eV per cell
V   147.71 Å³/f.u.
Energy relative to the elements   -0.632 eV per atom
VASP energy   -5.22 eV/atom
Excess energy over the best structure of this formula in the dataset   0.0 meV/atom

a b c (Å): 8.8174 8.8174 3.7997
angles (deg): 90.00 90.00 90.00
Closest atoms and distances in Å follow each position.
Space group P4/mbm (No. 127)
Inequivalent atoms, fractional coordinates:
Ca (0.0000, 0.0000, 0.0000)  4 Sn 3.32
Y (0.1418, 0.3582, 0.5000)  6 Sn 3.12-3.27
Sn (0.1592, 0.6592, 0.0000)  6 Y 3.12-3.27, 2 Ca 3.32



Look up the size of the total moment of the second one.
0.0 Bohr magnetons per cell